Compound: KMo3P2O14
Source: the Alexandria database
Functional: GGA-PBEsol
Structure: optimized geometry

Output
* E_tot: -327.065 eV for the cell shown
* total magnetic moment: 2.07 μB per cell
* ρ: 3.7 g cm⁻³

Structure (POSCAR):
```
KMo3P2O14
1.0
6.403 0.000 0.000
0.000 8.727 -0.061
0.000 -3.865 9.906
O Mo P K
28 6 4 2
Cartesian
6.178 4.901 3.661
2.819 0.750 3.019
4.802 6.193 1.763
1.601 -1.201 4.103
1.601 3.073 5.207
0.225 -0.040 6.185
1.601 7.756 1.551
2.826 1.793 0.235
0.382 0.750 3.019
4.802 -0.302 9.400
0.376 1.793 0.235
1.601 5.767 6.015
4.802 -0.075 1.156
1.601 2.589 7.896
3.577 3.069 9.611
1.601 5.164 0.445
2.977 -0.040 6.185
6.027 3.069 9.611
4.802 -2.895 8.294
6.021 4.112 6.826
3.426 4.901 3.661
4.802 2.273 1.949
1.601 -1.331 8.083
4.802 6.063 5.742
1.601 4.937 8.689
3.583 4.112 6.826
4.802 -0.905 3.830
4.802 1.789 4.638
1.601 3.995 6.601
4.802 2.009 0.105
1.601 -1.027 6.105
4.802 5.888 3.740
4.802 0.867 3.244
1.601 2.853 9.740
1.601 -0.189 2.936
4.802 5.051 6.910
4.802 7.197 0.610
1.601 -2.335 9.236
1.601 3.301 2.493
4.802 1.561 7.352
```